DFT (GGA-PBE) results for an optimized crystal structure of LaEr3H8.

abc: 5.236 5.236 5.236
angles: 90.00 90.00 90.00
Fractional coordinates of all 12 atoms:
H  0.263  0.263  0.263
Er  0.000  0.500  0.500
H  0.263  0.263  0.737
H  0.263  0.737  0.263
H  0.737  0.737  0.737
H  0.263  0.737  0.737
Er  0.500  0.500  0.000
Er  0.500  0.000  0.500
H  0.737  0.263  0.263
H  0.737  0.263  0.737
H  0.737  0.737  0.263
La  0.000  0.000  0.000

Results
Its final energy is -4.476 eV/atom.